[1]
12
Lattice="-2.491 2.491 5.571 2.491 -2.491 5.571 2.491 2.491 -5.571" Properties=species:S:1:pos:R:3 comment="YCrO4 | the Alexandria database | PBEsol | optimized geometry" vol_a3_per_cell=138.2 magmom_total_mub_per_cell=2.00 formation_energy_uncorrected_kj_per_mol_atoms=-252.18 spacegroup="I4_1/a, No. 88" pbc="T T T"
Y 0.000 1.245 1.393
Y 2.491 1.245 4.178
Cr 2.491 1.245 -1.393
Cr 0.000 1.245 6.963
O 3.772 0.533 -0.516
O 3.203 0.036 2.270
O 0.712 0.036 3.301
O 1.210 1.957 -0.516
O 1.281 0.533 6.086
O 1.779 2.455 2.270
O -0.712 2.455 3.301
O -1.281 1.957 6.086

---

[2]
20
Lattice="6.036 0.000 0.000 0.000 7.758 0.000 -1.917 0.000 7.089" Properties=species:S:1:pos:R:3 comment="ZnCr2O7 | the Alexandria database | PBEsol | optimized geometry" vol_a3_per_cell=332.0 magmom_total_mub_per_cell=0.00 formation_energy_uncorrected_kj_per_mol_atoms=-152.13 spacegroup="P2_1, No. 4" pbc="T T T"
Zn -0.240 0.000 1.005
Zn 4.359 3.879 6.084
Cr -0.189 3.323 2.230
Cr 1.335 3.752 5.026
Cr 2.784 7.631 2.063
Cr 4.308 7.202 4.859
O -0.293 1.745 1.826
O -0.002 4.241 0.878
O -0.419 7.647 4.090
O 0.026 3.064 5.756
O 1.391 6.909 1.559
O 1.178 3.561 3.295
O 1.383 5.293 5.350
O 2.737 1.414 1.739
O 2.942 7.441 3.794
O 2.728 3.029 5.531
O 4.093 6.943 1.333
O 4.538 3.768 2.999
O 4.121 0.362 6.211
O 4.413 5.624 5.263

---

[3]
5
Lattice="4.393 0.000 0.000 0.000 4.393 0.000 0.000 0.000 4.393" Properties=species:S:1:pos:R:3 comment="Zr3CrO | the Alexandria database | PBEsol | optimized geometry" vol_a3_per_cell=84.8 magmom_total_mub_per_cell=2.66 formation_energy_uncorrected_kj_per_mol_atoms=-88.72 spacegroup="Pm-3m, No. 221" pbc="T T T"
Zr 0.000 0.000 2.197
Zr 0.000 2.197 0.000
Zr 2.197 0.000 0.000
Cr 2.197 2.197 2.197
O 0.000 0.000 0.000